(1)
! GGA-PBE Be2TcPt, relaxed; values from VASP
! Fermi-level density of states: 3.31 states/eV per cell
! E: -6.253 eV per atom
! excess energy over the best structure of this formula in the dataset: 0.36 eV/f.u.
! ΔH_f (0 K): -6.65 kcal/mol of atoms
! total moment: 0.00 μB/f.u.
&SYSTEM
  ibrav = 0, nat = 4, ntyp = 3
/
ATOMIC_SPECIES
Be 9.01 Be.upf
Tc 98.00 Tc.upf
Pt 195.08 Pt.upf
ATOMIC_POSITIONS angstrom
Be 0.000 0.000 0.000
Be 1.383 1.383 1.082
Tc 1.383 1.383 4.541
Pt 0.000 0.000 2.471
CELL_PARAMETERS angstrom
2.765 0.000 0.000
0.000 2.765 0.000
0.000 0.000 5.985

=====

(2)
! GGA-PBE Y2MgCuC, relaxed; values from VASP
! Fermi-level density of states: 2.38 states/eV per cell
! E: -5.651 eV per atom
! excess energy over the best structure of this formula in the dataset: 0.00 eV/f.u.
! ΔH_f (0 K): -1.90 kcal/mol of atoms
! total moment: 0.00 μB/f.u.
&SYSTEM
  ibrav = 0, nat = 5, ntyp = 4
/
ATOMIC_SPECIES
Y 88.91 Y.upf
Mg 24.30 Mg.upf
Cu 63.55 Cu.upf
C 12.01 C.upf
ATOMIC_POSITIONS angstrom
Y 0.000 2.454 0.000
Y 2.454 0.000 0.000
Mg 0.000 0.000 2.129
Cu 2.454 2.454 2.129
C 0.000 0.000 0.000
CELL_PARAMETERS angstrom
4.908 0.000 0.000
0.000 4.908 0.000
0.000 0.000 4.257

=====

(3)
! GGA-PBE ThScSi2Pt2, relaxed; values from VASP
! formation energy from raw total energies: -1.16 eV/atom
! Fermi-level density of states: 2.07 states/eV per cell
! E: -7.277 eV per atom
! total moment: 0.00 μB/f.u.
&SYSTEM
  ibrav = 0, nat = 6, ntyp = 4
/
ATOMIC_SPECIES
Th 232.04 Th.upf
Sc 44.96 Sc.upf
Si 28.09 Si.upf
Pt 195.08 Pt.upf
ATOMIC_POSITIONS angstrom
Th 0.000 0.000 0.000
Sc 0.000 0.000 3.559
Si 0.000 2.473 5.108
Si 2.142 1.237 2.009
Pt 0.000 2.473 2.116
Pt 2.142 1.237 5.001
CELL_PARAMETERS angstrom
4.284 0.000 0.000
-2.142 3.710 0.000
0.000 0.000 7.117

=====

(4)
! GGA-PBE CaInTe4, relaxed; values from VASP
! formation energy from raw total energies: -0.10 eV/atom
! Fermi-level density of states: 3.40 states/eV per cell
! E: -2.982 eV per atom
! total moment: 0.00 μB/f.u.
&SYSTEM
  ibrav = 0, nat = 6, ntyp = 3
/
ATOMIC_SPECIES
Ca 40.08 Ca.upf
In 114.82 In.upf
Te 127.60 Te.upf
ATOMIC_POSITIONS angstrom
Ca 0.000 0.000 0.000
In 6.887 6.887 6.887
Te 3.441 3.441 3.441
Te 5.741 5.741 3.441
Te 5.741 3.441 5.741
Te 3.441 5.741 5.741
CELL_PARAMETERS angstrom
0.000 4.591 4.591
4.591 0.000 4.591
4.591 4.591 0.000

=====

(5)
! GGA-PBE ScHRh3, relaxed; values from VASP
! Fermi-level density of states: 8.31 states/eV per cell
! E: -6.577 eV per atom
! excess energy over the best structure of this formula in the dataset: 1.69 eV/f.u.
! total moment: 0.00 μB/f.u.
&SYSTEM
  ibrav = 0, nat = 10, ntyp = 3
/
ATOMIC_SPECIES
Sc 44.96 Sc.upf
H 1.01 H.upf
Rh 102.91 Rh.upf
ATOMIC_POSITIONS angstrom
Sc 1.425 0.000 0.641
Sc 11.442 0.000 5.931
H 5.621 0.000 4.536
H 7.245 0.000 2.036
Rh -0.300 0.000 4.642
Rh 2.281 0.000 5.408
Rh 4.142 0.000 3.418
Rh 8.725 0.000 3.154
Rh 10.586 0.000 1.164
Rh 13.167 0.000 1.930
CELL_PARAMETERS angstrom
7.045 -1.441 0.000
7.045 1.441 0.000
-1.224 0.000 6.572

=====

(6)
! GGA-PBE Mn2CuOs, relaxed; values from VASP
! Fermi-level density of states: 3.92 states/eV per cell
! E: -8.219 eV per atom
! ΔH_f (0 K): 4.55 kcal/mol of atoms
! total moment: 4.27 μB/f.u.
&SYSTEM
  ibrav = 0, nat = 4, ntyp = 3
/
ATOMIC_SPECIES
Mn 54.94 Mn.upf
Cu 63.55 Cu.upf
Os 190.23 Os.upf
ATOMIC_POSITIONS angstrom
Mn 0.000 0.000 0.000
Mn 1.537 0.000 3.145
Cu 3.871 0.000 2.196
Os 6.239 0.000 0.940
CELL_PARAMETERS angstrom
4.300 -1.345 0.000
4.300 1.345 0.000
-0.862 0.000 4.404

=====

(7)
! GGA-PBE Tm8Ag2Ru, relaxed; values from VASP
! Fermi-level density of states: 9.44 states/eV per cell
! E: -4.781 eV per atom
! excess energy over the best structure of this formula in the dataset: 0.62 eV/f.u.
! ΔH_f (0 K): -3.86 kcal/mol of atoms
! total moment: 0.00 μB/f.u.
&SYSTEM
  ibrav = 0, nat = 11, ntyp = 3
/
ATOMIC_SPECIES
Tm 168.93 Tm.upf
Ag 107.87 Ag.upf
Ru 101.07 Ru.upf
ATOMIC_POSITIONS angstrom
Tm 0.389 1.982 3.235
Tm 3.456 5.327 0.000
Tm 1.411 0.000 0.690
Tm 0.389 -1.982 3.235
Tm 4.053 1.982 1.651
Tm 3.031 0.000 4.195
Tm 3.456 -5.327 0.000
Tm 4.053 -1.982 1.651
Ag 2.221 4.160 2.443
Ag 2.221 -4.160 2.443
Ru -1.235 0.000 2.443
CELL_PARAMETERS angstrom
3.456 -8.658 0.000
3.456 8.658 0.000
-2.471 0.000 4.885

=====

(8)
! GGA-PBE Rb12Ca3Br5, relaxed; values from VASP
! formation energy from raw total energies: -0.62 eV/atom
! Fermi-level density of states: 59.07 states/eV per cell
! E: -1.918 eV per atom
! total moment: 0.86 μB/f.u.
&SYSTEM
  ibrav = 0, nat = 80, ntyp = 3
/
ATOMIC_SPECIES
Rb 85.47 Rb.upf
Ca 40.08 Ca.upf
Br 79.90 Br.upf
ATOMIC_POSITIONS angstrom
Rb 3.252 -0.756 1.202
Rb 13.569 6.809 -6.363
Rb 14.466 0.756 1.202
Rb 13.569 -4.405 6.363
Rb 10.457 -1.202 3.252
Rb 17.577 -2.355 4.405
Rb 1.202 3.252 -0.756
Rb 15.619 4.851 -2.355
Rb 6.809 6.363 -2.355
Rb 10.012 3.252 0.756
Rb -0.756 1.202 3.252
Rb 6.363 -2.355 6.809
Rb 10.457 10.012 -3.252
Rb 6.363 2.355 4.405
Rb 6.809 -6.363 13.569
Rb 10.012 -3.252 10.457
Rb 4.405 6.363 2.355
Rb 12.416 7.962 0.756
Rb 6.363 13.569 -4.405
Rb 10.457 1.202 7.962
Rb 3.252 10.457 -1.202
Rb 13.569 4.405 4.851
Rb 2.355 4.405 6.363
Rb 3.252 0.756 10.012
Rb 7.962 10.457 1.202
Rb 8.859 6.809 4.851
Rb -2.355 6.809 6.363
Rb 7.962 0.756 12.416
Rb 0.756 10.012 3.252
Rb 4.851 -2.355 15.619
Rb -1.202 3.252 10.457
Rb 6.809 4.851 8.859
Rb 1.202 14.466 0.756
Rb 4.405 17.577 -2.355
Rb 4.851 8.859 6.809
Rb 0.756 1.202 14.466
Rb 4.851 13.569 4.405
Rb 11.970 10.012 7.962
Rb 1.202 7.962 10.457
Rb 4.405 4.851 13.569
Rb -4.405 6.363 13.569
Rb 10.012 7.962 11.970
Rb -6.363 13.569 6.809
Rb 0.756 12.416 7.962
Rb -2.355 15.619 4.851
Rb -3.252 10.457 10.012
Rb -2.355 4.405 17.577
Rb 7.962 11.970 10.012
Ca 5.607 2.803 0.000
Ca 11.214 5.607 -2.803
Ca 2.803 0.000 5.607
Ca 14.017 0.000 5.607
Ca 0.000 5.607 2.803
Ca 5.607 -2.803 11.214
Ca 5.607 14.017 0.000
Ca 11.214 5.607 8.410
Ca -2.803 11.214 5.607
Ca 8.410 11.214 5.607
Ca 0.000 5.607 14.017
Ca 5.607 8.410 11.214
Br 0.000 0.000 0.000
Br 5.607 5.607 -5.607
Br 5.607 -5.607 5.607
Br 11.214 0.000 0.000
Br 16.821 2.803 0.000
Br 11.214 -5.607 8.410
Br 8.410 11.214 -5.607
Br 8.410 0.000 5.607
Br 5.607 8.410 0.000
Br 11.214 5.607 2.803
Br -5.607 5.607 5.607
Br 0.000 11.214 0.000
Br 0.000 0.000 11.214
Br 5.607 5.607 5.607
Br 0.000 5.607 8.410
Br 5.607 2.803 11.214
Br 2.803 11.214 5.607
Br 2.803 0.000 16.821
Br 0.000 16.821 2.803
Br -5.607 8.410 11.214
CELL_PARAMETERS angstrom
-11.214 11.214 11.214
11.214 -11.214 11.214
11.214 11.214 -11.214

=====

(9)
! GGA-PBE Er2Tm3Sn, relaxed; values from VASP
! Fermi-level density of states: 14.58 states/eV per cell
! E: -4.637 eV per atom
! ΔH_f (0 K): -4.91 kcal/mol of atoms
! total moment: 0.00 μB/f.u.
&SYSTEM
  ibrav = 0, nat = 12, ntyp = 3
/
ATOMIC_SPECIES
Er 167.26 Er.upf
Tm 168.93 Tm.upf
Sn 118.71 Sn.upf
ATOMIC_POSITIONS angstrom
Er 0.663 0.879 1.329
Er 2.854 2.638 6.724
Er 5.416 0.879 5.318
Er 7.607 2.638 10.714
Tm 0.649 0.879 4.683
Tm 2.857 2.638 11.335
Tm 3.232 2.638 3.011
Tm 5.038 0.879 9.032
Tm 5.412 0.879 0.708
Tm 7.621 2.638 7.360
Sn 1.554 0.879 9.038
Sn 6.716 2.638 3.005
CELL_PARAMETERS angstrom
8.285 0.000 0.000
0.000 3.518 0.000
-0.015 0.000 12.043

=====

(10)
! GGA-PBE U3SnRu2, relaxed; values from VASP
! Fermi-level density of states: 20.68 states/eV per cell
! E: -9.495 eV per atom
! ΔH_f (0 K): -2.12 kcal/mol of atoms
! total moment: 0.00 μB/f.u.
&SYSTEM
  ibrav = 0, nat = 12, ntyp = 3
/
ATOMIC_SPECIES
U 238.03 U.upf
Sn 118.71 Sn.upf
Ru 101.07 Ru.upf
ATOMIC_POSITIONS angstrom
U 3.890 2.923 4.230
U 2.799 0.283 0.109
U 2.735 -0.283 2.929
U 5.108 0.283 2.711
U 5.044 -0.283 5.531
U 3.954 -2.923 1.410
Sn 3.954 4.854 1.410
Sn 3.890 -4.854 4.230
Ru 2.330 2.631 1.464
Ru 5.577 2.631 1.356
Ru 2.266 -2.631 4.284
Ru 5.514 -2.631 4.177
CELL_PARAMETERS angstrom
3.985 -5.472 0.000
3.985 5.472 0.000
-0.127 0.000 5.640

=====

(11)
! GGA-PBE SrCd11Pt, relaxed; values from VASP
! Fermi-level density of states: 5.59 states/eV per cell
! E: -1.544 eV per atom
! ΔH_f (0 K): -4.05 kcal/mol of atoms
! total moment: 0.00 μB/f.u.
&SYSTEM
  ibrav = 0, nat = 13, ntyp = 3
/
ATOMIC_SPECIES
Sr 87.62 Sr.upf
Cd 112.41 Cd.upf
Pt 195.08 Pt.upf
ATOMIC_POSITIONS angstrom
Sr 0.000 0.000 0.000
Cd -1.397 0.000 3.593
Cd 1.427 3.619 0.000
Cd 0.085 2.478 2.592
Cd 0.096 1.518 5.626
Cd 0.085 -2.478 2.592
Cd 2.818 1.518 1.560
Cd 1.427 -3.619 0.000
Cd 0.096 -1.518 5.626
Cd 2.829 2.478 4.594
Cd 2.818 -1.518 1.560
Cd 2.829 -2.478 4.594
Pt 1.457 0.000 3.593
CELL_PARAMETERS angstrom
2.854 -7.238 0.000
2.854 7.238 0.000
-2.793 0.000 7.186